# PBE Ce6Co2Ir, optimized geometry
data_Ce6Co2Ir
_chemical_formula_sum 'Ce24 Co8 Ir4'
_cell_length_a 8.9967
_cell_length_b 9.4906
_cell_length_c 9.6941
_cell_angle_alpha 90.00
_cell_angle_beta 90.00
_cell_angle_gamma 90.00
_symmetry_space_group_name_H-M 'I m m m'
_symmetry_Int_Tables_number 71
_symmetry_space_group_name_Hall '-I 2 2'
loop_
_atom_site_label
_atom_site_fract_x
_atom_site_fract_y
_atom_site_fract_z
Ce1 0.0000 0.2464 0.1831
Ce2 0.1864 0.1507 0.5000
Ce3 0.2058 0.5000 0.3307
Co1 0.0000 0.0000 0.2904
Co2 0.0000 0.3550 0.5000
Ir1 0.0000 0.0000 0.0000
Ir2 0.0000 0.5000 0.0000
# crystal system = orthorhombic
# energy relative to the lowest polymorph listed for this composition = 0.000 eV per atom
# M_tot = 0.297 μB/atom
# formation energy from the elements = -0.244 eV per atom
# final energy = -6.763 eV per atom
# volume = 22.99 Å³/atom

---

# PBE CeCoIr, optimized geometry
data_CeCoIr
_chemical_formula_sum 'Ce2 Co2 Ir2'
_cell_length_a 3.6084
_cell_length_b 3.6084
_cell_length_c 8.4857
_cell_angle_alpha 90.00
_cell_angle_beta 90.00
_cell_angle_gamma 90.00
_symmetry_space_group_name_H-M 'I 4 m m'
_symmetry_Int_Tables_number 107
_symmetry_space_group_name_Hall 'I 4 -2'
loop_
_atom_site_label
_atom_site_fract_x
_atom_site_fract_y
_atom_site_fract_z
Ce1 0.0000 0.0000 0.0000
Co1 0.0000 0.0000 0.7339
Ir1 0.0000 0.0000 0.3071
# crystal system = tetragonal
# M_tot = 0.000 μB/atom
# formation energy from the elements = -0.133 eV per atom
# final energy = -7.433 eV per atom
# volume = 18.41 Å³/atom

---

# PBE LaCeCoIr, optimized geometry
data_LaCeCoIr
_chemical_formula_sum 'La4 Ce4 Co4 Ir4'
_cell_length_a 6.9952
_cell_length_b 6.9952
_cell_length_c 6.9952
_cell_angle_alpha 90.00
_cell_angle_beta 90.00
_cell_angle_gamma 90.00
_symmetry_space_group_name_H-M 'F -4 3 m'
_symmetry_Int_Tables_number 216
_symmetry_space_group_name_Hall 'F -4 2 3'
loop_
_atom_site_label
_atom_site_fract_x
_atom_site_fract_y
_atom_site_fract_z
La1 0.0000 0.0000 0.0000
Ce1 0.0000 0.0000 0.5000
Co1 0.2500 0.2500 0.2500
Ir1 0.2500 0.2500 0.7500
# crystal system = cubic
# M_tot = 0.074 μB/atom
# formation energy from the elements = -0.318 eV per atom
# final energy = -7.025 eV per atom
# volume = 21.39 Å³/atom

---

# PBE CeLuCoIr, optimized geometry
data_CeLuCoIr
_chemical_formula_sum 'Ce4 Lu4 Co4 Ir4'
_cell_length_a 6.7727
_cell_length_b 6.7727
_cell_length_c 6.7727
_cell_angle_alpha 90.00
_cell_angle_beta 90.00
_cell_angle_gamma 90.00
_symmetry_space_group_name_H-M 'F -4 3 m'
_symmetry_Int_Tables_number 216
_symmetry_space_group_name_Hall 'F -4 2 3'
loop_
_atom_site_label
_atom_site_fract_x
_atom_site_fract_y
_atom_site_fract_z
Ce1 0.0000 0.0000 0.0000
Lu1 0.0000 0.0000 0.5000
Co1 0.2500 0.2500 0.7500
Ir1 0.2500 0.2500 0.2500
# crystal system = cubic
# M_tot = 0.017 μB/atom
# formation energy from the elements = -0.489 eV per atom
# final energy = -7.094 eV per atom
# volume = 19.42 Å³/atom

---

# PBE CeMgCoIr, optimized geometry
data_CeMgCoIr
_chemical_formula_sum 'Ce4 Mg4 Co4 Ir4'
_cell_length_a 6.5714
_cell_length_b 6.5714
_cell_length_c 6.5714
_cell_angle_alpha 90.00
_cell_angle_beta 90.00
_cell_angle_gamma 90.00
_symmetry_space_group_name_H-M 'F -4 3 m'
_symmetry_Int_Tables_number 216
_symmetry_space_group_name_Hall 'F -4 2 3'
loop_
_atom_site_label
_atom_site_fract_x
_atom_site_fract_y
_atom_site_fract_z
Ce1 0.0000 0.0000 0.0000
Mg1 0.0000 0.0000 0.5000
Co1 0.2500 0.2500 0.2500
Ir1 0.2500 0.2500 0.7500
# crystal system = cubic
# M_tot = 0.107 μB/atom
# formation energy from the elements = -0.295 eV per atom
# final energy = -6.169 eV per atom
# volume = 17.74 Å³/atom

---

# PBE CeNdCoIr, optimized geometry
data_CeNdCoIr
_chemical_formula_sum 'Ce4 Nd4 Co4 Ir4'
_cell_length_a 6.9545
_cell_length_b 6.9545
_cell_length_c 6.9545
_cell_angle_alpha 90.00
_cell_angle_beta 90.00
_cell_angle_gamma 90.00
_symmetry_space_group_name_H-M 'F -4 3 m'
_symmetry_Int_Tables_number 216
_symmetry_space_group_name_Hall 'F -4 2 3'
loop_
_atom_site_label
_atom_site_fract_x
_atom_site_fract_y
_atom_site_fract_z
Ce1 0.0000 0.0000 0.0000
Nd1 0.0000 0.0000 0.5000
Co1 0.2500 0.2500 0.2500
Ir1 0.2500 0.2500 0.7500
# crystal system = cubic
# M_tot = 0.076 μB/atom
# formation energy from the elements = -0.308 eV per atom
# final energy = -6.975 eV per atom
# volume = 21.02 Å³/atom